The following is a PBE calculation of Li2TcNi6 after structural relaxation, from the Alexandria database.

Cell lengths 7.153, 7.153, 4.472 Å; angles 98.20, 98.20, 109.44 degrees
Fractional coordinates of all 18 atoms:
Li: 0.153 0.158 0.361
Li: 0.158 0.153 0.861
Li: 0.842 0.847 0.139
Li: 0.847 0.842 0.639
Tc: 0.437 0.563 0.750
Tc: 0.563 0.437 0.250
Ni: 0.065 0.414 0.657
Ni: 0.136 0.750 0.968
Ni: 0.217 0.490 0.205
Ni: 0.250 0.864 0.532
Ni: 0.414 0.065 0.157
Ni: 0.490 0.217 0.705
Ni: 0.510 0.783 0.295
Ni: 0.586 0.935 0.843
Ni: 0.750 0.136 0.468
Ni: 0.783 0.510 0.795
Ni: 0.864 0.250 0.032
Ni: 0.935 0.586 0.343

Computed properties:
The total energy is -96.15 eV for the cell shown. The spin magnetization comes out at 1.68 μB/f.u. The calculated volume comes out at 209.1 Å³/cell.

***

The following is a PBE calculation of AlReHg2 after structural relaxation, from the Alexandria database.

Cell lengths 4.681, 4.681, 4.681 Å; angles 60.00, 60.00, 60.00 degrees
Fractional coordinates of all 4 atoms:
Al: 0.000 0.000 0.000
Re: 0.750 0.750 0.750
Hg: 0.250 0.250 0.250
Hg: 0.500 0.500 0.500

Computed properties:
The total energy is -13.62 eV for the cell shown. The spin magnetization comes out at 0.00 μB/f.u. The calculated volume comes out at 72.5 Å³/cell.

***

The following is a PBE calculation of AcPrSnAu after structural relaxation, from the Alexandria database.

Cell lengths 5.563, 5.563, 5.563 Å; angles 60.00, 60.00, 60.00 degrees
Fractional coordinates of all 4 atoms:
Ac: 0.000 0.000 0.000
Pr: 0.500 0.500 0.500
Sn: 0.250 0.250 0.250
Au: 0.750 0.750 0.750

Computed properties:
The total energy is -18.88 eV for the cell shown. The spin magnetization comes out at 0.89 μB/f.u. The calculated volume comes out at 121.8 Å³/cell.

***

The following is a PBE calculation of Sm3Sn4Pt3 after structural relaxation, from the Alexandria database.

Cell lengths 8.595, 8.595, 8.595 Å; angles 109.47, 109.47, 109.47 degrees
Fractional coordinates of all 20 atoms:
Sm: 0.125 0.875 0.250
Sm: 0.250 0.125 0.875
Sm: 0.375 0.625 0.750
Sm: 0.625 0.750 0.375
Sm: 0.750 0.375 0.625
Sm: 0.875 0.250 0.125
Sn: 0.000 0.161 0.500
Sn: 0.000 0.661 0.500
Sn: 0.161 0.500 0.000
Sn: 0.339 0.339 0.339
Sn: 0.500 0.000 0.161
Sn: 0.500 0.000 0.661
Sn: 0.661 0.500 0.000
Sn: 0.839 0.839 0.839
Pt: 0.125 0.750 0.875
Pt: 0.250 0.625 0.375
Pt: 0.375 0.250 0.625
Pt: 0.625 0.375 0.250
Pt: 0.750 0.875 0.125
Pt: 0.875 0.125 0.750

Computed properties:
The total energy is -114.49 eV for the cell shown. The spin magnetization comes out at 0.00 μB/f.u. The calculated volume comes out at 488.9 Å³/cell.

***

The following is a PBE calculation of YHgSb2I after structural relaxation, from the Alexandria database.

Cell lengths 5.948, 5.948, 5.984 Å; angles 90.00, 90.00, 90.00 degrees
Fractional coordinates of all 5 atoms:
Y: 0.000 0.000 0.000
Hg: 0.500 0.500 0.500
Sb: 0.000 0.500 0.000
Sb: 0.500 0.000 0.000
I: 0.000 0.000 0.500

Computed properties:
The total energy is -16.52 eV for the cell shown. The uncorrected formation energy comes out at 0.01 eV/atom. The spin magnetization comes out at 1.27 μB/f.u. The calculated volume comes out at 211.7 Å³/cell.

***

The following is a PBE calculation of YTlMo2 after structural relaxation, from the Alexandria database.

Cell lengths 5.542, 5.542, 5.154 Å; angles 110.26, 110.26, 37.32 degrees
Fractional coordinates of all 4 atoms:
Y: 0.000 0.000 0.000
Tl: 0.500 0.500 0.500
Mo: 0.245 0.245 0.662
Mo: 0.755 0.755 0.338

Computed properties:
The total energy is -28.72 eV for the cell shown. The spin magnetization comes out at 0.00 μB/f.u. The calculated volume comes out at 89.4 Å³/cell.

***

The following is a PBE calculation of MnAlCl after structural relaxation, from the Alexandria database.

Cell lengths 4.301, 4.301, 3.043 Å; angles 90.00, 90.00, 120.00 degrees
Fractional coordinates of all 3 atoms:
Mn: 0.000 0.000 0.000
Al: 0.333 0.667 0.500
Cl: 0.667 0.333 0.000

Computed properties:
The total energy is -14.20 eV for the cell shown. The uncorrected formation energy comes out at 0.19 eV/atom. The spin magnetization comes out at 2.98 μB/f.u. The calculated volume comes out at 48.7 Å³/cell.

***

The following is a PBE calculation of TlHgMo2Pt after structural relaxation, from the Alexandria database.

Cell lengths 5.177, 5.177, 5.051 Å; angles 90.00, 90.00, 90.00 degrees
Fractional coordinates of all 5 atoms:
Tl: 0.000 0.000 0.000
Hg: 0.500 0.500 0.500
Mo: 0.000 0.500 0.500
Mo: 0.500 0.000 0.500
Pt: 0.500 0.500 0.000

Computed properties:
The total energy is -20.72 eV for the cell shown. The spin magnetization comes out at 6.59 μB/f.u. The calculated volume comes out at 135.4 Å³/cell.